{"formula": "MnBi2TeMo", "functional": "PBEsol", "state": "optimized geometry", "lattice_angstrom": [[4.727, 0.000, 0.000], [0.000, 5.862, 0.000], [0.000, 0.000, 5.862]], "species": ["Mo", "Bi", "Bi", "Te", "Mn"], "frac_coords": [[0.500, 0.500, 0.500], [0.000, 0.500, 0.000], [0.000, 0.000, 0.500], [0.000, 0.000, 0.000], [0.500, 0.000, 0.000]], "dft_energy_ev_per_atom": -5.0880, "n_ef_per_ev_fu": 4.0, "e_form_raw_ev_per_atom": 1.637, "density_g_cm3": 7.1, "magmom_total_mub_per_cell": 7.83}

***

{"formula": "MnBi2N", "functional": "PBEsol", "state": "optimized geometry", "lattice_angstrom": [[6.133, 0.000, 0.000], [-3.067, 5.847, 0.213], [0.000, 3.023, 5.337]], "species": ["Mn", "Bi", "Mn", "N", "N", "Bi", "Bi", "Bi"], "frac_coords": [[0.750, 0.500, 0.750], [0.875, 0.250, 0.575], [0.000, 0.000, 0.000], [0.500, 0.000, 0.500], [0.250, 0.500, 0.250], [0.375, 0.250, 0.175], [0.575, 0.750, 0.375], [0.175, 0.750, 0.875]], "dft_energy_ev_per_atom": -5.8735, "n_ef_per_ev_fu": 2.0, "e_form_raw_ev_per_atom": 0.841, "density_g_cm3": 8.6, "magmom_total_mub_per_cell": 7.41}

***

{"formula": "MnBiSeN2", "functional": "PBEsol", "state": "optimized geometry", "lattice_angstrom": [[4.192, 0.000, 0.000], [0.000, 4.192, 0.000], [0.000, 0.000, 5.777]], "species": ["Mn", "Se", "N", "N", "Bi"], "frac_coords": [[0.500, 0.500, 0.500], [0.000, 0.000, 0.500], [0.500, 0.000, 0.000], [0.000, 0.500, 0.000], [0.000, 0.000, 0.000]], "dft_energy_ev_per_atom": -5.4251, "n_ef_per_ev_fu": 2.9, "e_form_raw_ev_per_atom": 1.565, "density_g_cm3": 6.1, "magmom_total_mub_per_cell": 6.36}

***

{"formula": "Na2MnBi", "functional": "PBEsol", "state": "optimized geometry", "lattice_angstrom": [[-2.935, 4.275, 2.099], [-6.274, 0.584, -2.507], [-3.602, -1.533, 5.538]], "species": ["Mn", "Na", "Na", "Na", "Mn", "Bi", "Na", "Bi"], "frac_coords": [[0.500, 0.000, 0.000], [0.618, 0.007, 0.507], [0.875, 0.507, 0.993], [0.132, 0.993, 0.493], [0.250, 0.500, 0.500], [0.000, 0.000, 0.000], [0.375, 0.493, 0.007], [0.750, 0.500, 0.500]], "dft_energy_ev_per_atom": -3.7429, "n_ef_per_ev_fu": 2.6, "formation_energy_ev_per_atom": 0.4687, "density_g_cm3": 4.8, "magmom_total_mub_per_cell": 8.77}

***

{"formula": "NaMn3Bi", "functional": "PBEsol", "state": "optimized geometry", "lattice_angstrom": [[4.702, 0.000, 0.000], [0.000, 4.702, 0.000], [0.000, 0.000, 4.702]], "species": ["Na", "Mn", "Mn", "Mn", "Bi"], "frac_coords": [[0.000, 0.000, 0.000], [0.500, 0.000, 0.000], [0.000, 0.500, 0.000], [0.000, 0.000, 0.500], [0.500, 0.500, 0.500]], "dft_energy_ev_per_atom": -5.3813, "n_ef_per_ev_fu": 4.9, "formation_energy_ev_per_atom": 1.6124, "density_g_cm3": 6.3, "magmom_total_mub_per_cell": 11.65}

***

{"formula": "MnNb2ReBi", "functional": "PBEsol", "state": "optimized geometry", "lattice_angstrom": [[4.502, 0.000, 0.000], [0.000, 4.502, 0.000], [0.000, 0.000, 4.700]], "species": ["Nb", "Nb", "Re", "Bi", "Mn"], "frac_coords": [[0.500, 0.000, 0.000], [0.000, 0.500, 0.000], [0.500, 0.500, 0.500], [0.000, 0.000, 0.500], [0.000, 0.000, 0.000]], "dft_energy_ev_per_atom": -8.4726, "n_ef_per_ev_fu": 6.2, "formation_energy_ev_per_atom": 1.3317, "density_g_cm3": 11.1, "magmom_total_mub_per_cell": 0.00}